Here is a relaxed structure of V5Pt4Rh2 from the Alexandria database. Energies are from GGA-PBE.

Values from the calculation:
The calculated density is 13.07 g/cm³. Its formation energy is -47 kJ per mole of atoms.

```
data_V5Pt4Rh2
_chemical_formula_sum 'V10 Pt8 Rh4'
_symmetry_space_group_name_H-M 'P b a m'
_symmetry_Int_Tables_number 55
_cell_length_a 6.9098
_cell_length_b 16.6486
_cell_length_c 2.7398
_cell_angle_alpha 90.00
_cell_angle_beta 90.00
_cell_angle_gamma 90.00
loop_
_symmetry_equiv_pos_as_xyz
'x,y,z'
'-x,-y,-z'
'-x,-y,z'
'x,y,-z'
'x+1/2,-y+1/2,-z'
'-x+1/2,y+1/2,z'
'-x+1/2,y+1/2,-z'
'x+1/2,-y+1/2,z'
loop_
_atom_site_label
_atom_site_type_symbol
_atom_site_fract_x
_atom_site_fract_y
_atom_site_fract_z
V1 V 0.0000 0.0000 0.0000
V2 V 0.1442 0.4345 0.0000
V3 V 0.2414 0.2102 0.0000
Pt1 Pt 0.0724 0.8559 0.5000
Pt2 Pt 0.2078 0.5689 0.5000
Rh1 Rh 0.0478 0.3066 0.5000
```

Here is a relaxed structure of V4Pt5Rh2 from the Alexandria database. Energies are from GGA-PBE.

Values from the calculation:
The calculated density is 14.17 g/cm³. As for the energy above the lowest structure with this stoichiometry: 0 meV per atom. Its formation energy is -40 kJ per mole of atoms.

```
data_V4Pt5Rh2
_chemical_formula_sum 'V4 Pt5 Rh2'
_symmetry_space_group_name_H-M 'P 1 2/m 1'
_symmetry_Int_Tables_number 10
_cell_length_a 6.7496
_cell_length_b 2.7382
_cell_length_c 8.8757
_cell_angle_alpha 90.00
_cell_angle_beta 98.45
_cell_angle_gamma 90.00
loop_
_symmetry_equiv_pos_as_xyz
'x,y,z'
'-x,-y,-z'
'-x,y,-z'
'x,-y,z'
loop_
_atom_site_label
_atom_site_type_symbol
_atom_site_fract_x
_atom_site_fract_y
_atom_site_fract_z
V1 V 0.1833 0.0000 0.3775
V2 V 0.2652 0.0000 0.9447
Pt1 Pt 0.1596 0.5000 0.6357
Pt2 Pt 0.4690 0.5000 0.1863
Pt3 Pt 0.5000 0.5000 0.5000
Rh1 Rh 0.0688 0.5000 0.1427
```

Here is a relaxed structure of V3PtRh3 from the Alexandria database. Energies are from GGA-PBE.

Values from the calculation:
The calculated density is 10.62 g/cm³. As for the energy above the lowest structure with this stoichiometry: 0 meV per atom. Its formation energy is -26 kJ per mole of atoms.

```
data_V3PtRh3
_chemical_formula_sum 'V12 Pt4 Rh12'
_symmetry_space_group_name_H-M 'P 21 3'
_symmetry_Int_Tables_number 198
_symmetry_space_group_name_Hall 'P 2ac 2ab 3'
_cell_length_a 7.4341
_cell_length_b 7.4341
_cell_length_c 7.4341
_cell_angle_alpha 90.00
_cell_angle_beta 90.00
_cell_angle_gamma 90.00
loop_
_atom_site_label
_atom_site_type_symbol
_atom_site_fract_x
_atom_site_fract_y
_atom_site_fract_z
V1 V 0.1220 0.3780 0.6220
V2 V 0.1451 0.8549 0.3549
V3 V 0.2206 0.2206 0.2206
Pt1 Pt 0.0654 0.5654 0.9346
Rh1 Rh 0.0216 0.1955 0.9032
```